The following is a PBE-GGA calculation of a geometry-optimized Sm2CCl2 structure, from the Alexandria database.

Lattice parameters (Å, degrees): 3.744 3.744 10.623 79.85 79.85 60.00
Fractional positions:
Sm: 0.379 0.379 0.862
Sm: 0.621 0.621 0.138
C: 0.000 0.000 0.000
Cl: 0.894 0.894 0.318
Cl: 0.106 0.106 0.682

Computed properties:
The calculation puts the uncorrected formation energy at -1.339 eV/atom. The value obtained for the total magnetization is 0.00 μB per formula unit. For the total energy, the calculation gives -5.810 eV per atom.

---

The following is a PBE-GGA calculation of a geometry-optimized Sm6CCl12 structure, from the Alexandria database.

Lattice parameters (Å, degrees): 8.059 8.059 8.059 74.51 74.51 74.51
Each line ends with the local moment (μB).
Fractional positions:
Sm: 0.220 0.807 0.220  0.06
Sm: 0.193 0.780 0.780  0.06
Sm: 0.780 0.780 0.193  0.06
Sm: 0.780 0.193 0.780  0.06
Sm: 0.807 0.220 0.220  0.06
Sm: 0.220 0.220 0.807  0.06
C: 0.000 0.000 0.000  -0.03
Cl: 0.554 0.175 0.554  0.00
Cl: 0.175 0.554 0.554  0.00
Cl: 0.554 0.554 0.175  0.00
Cl: 0.446 0.825 0.446  0.00
Cl: 0.825 0.446 0.446  0.00
Cl: 0.446 0.446 0.825  0.00
Cl: 0.563 0.110 0.110  0.00
Cl: 0.890 0.437 0.890  0.00
Cl: 0.890 0.890 0.437  0.00
Cl: 0.437 0.890 0.890  0.00
Cl: 0.110 0.563 0.110  0.00
Cl: 0.110 0.110 0.563  0.00

Computed properties:
The calculation puts the uncorrected formation energy at -1.790 eV/atom. The calculation puts the density of states at the Fermi level at 0.2020 states/eV/atom. The value obtained for the total magnetization is 0.80 μB per formula unit. For the total energy, the calculation gives -4.932 eV per atom.

---

The following is a PBE-GGA calculation of a geometry-optimized Sm3C2Cl2 structure, from the Alexandria database.

Lattice parameters (Å, degrees): 3.652 6.341 7.353 100.51 90.54 104.14
Fractional positions:
Sm: 0.000 0.000 0.000
Sm: 0.781 0.552 0.216
Sm: 0.219 0.448 0.784
C: 0.637 0.272 0.936
C: 0.363 0.728 0.064
Cl: 0.853 0.743 0.627
Cl: 0.147 0.257 0.373

Computed properties:
The calculation puts the uncorrected formation energy at -0.844 eV/atom. The calculation puts the density of states at the Fermi level at 0.6227 states/eV/atom. The value obtained for the total magnetization is 0.00 μB per formula unit. For the total energy, the calculation gives -6.030 eV per atom.

---

The following is a PBE-GGA calculation of a geometry-optimized Sm3CCl5 structure, from the Alexandria database.

Lattice parameters (Å, degrees): 7.903 7.903 9.120 74.88 74.88 72.11
Each line ends with the local moment (μB).
Fractional positions:
Sm: 0.659 0.659 0.837  0.08
Sm: 0.758 0.758 0.369  0.00
Sm: 0.000 0.000 0.000  0.01
Sm: 0.000 0.000 0.500  0.00
Sm: 0.341 0.341 0.163  0.08
Sm: 0.242 0.242 0.631  0.00
C: 0.063 0.063 0.720  -0.01
C: 0.937 0.937 0.280  -0.01
Cl: 0.008 0.383 0.360  0.00
Cl: 0.307 0.693 0.000  0.00
Cl: 0.761 0.761 0.061  0.00
Cl: 0.449 0.449 0.360  0.00
Cl: 0.551 0.551 0.640  0.00
Cl: 0.239 0.239 0.939  0.00
Cl: 0.383 0.008 0.360  0.00
Cl: 0.693 0.307 0.000  0.00
Cl: 0.992 0.617 0.640  0.00
Cl: 0.617 0.992 0.640  0.00

Computed properties:
The calculation puts the uncorrected formation energy at -1.482 eV/atom. The calculation puts the density of states at the Fermi level at 0.2422 states/eV/atom. The value obtained for the total magnetization is 0.12 μB per formula unit. For the total energy, the calculation gives -5.106 eV per atom.

---

The following is a PBE-GGA calculation of a geometry-optimized Sm2CCl2 structure, from the Alexandria database.

Lattice parameters (Å, degrees): 3.828 6.636 11.532 113.76 99.55 90.00
Fractional positions:
Sm: 0.182 0.988 0.365
Sm: 0.818 0.012 0.635
Sm: 0.318 0.512 0.635
Sm: 0.682 0.488 0.365
C: 0.250 0.750 0.500
C: 0.750 0.250 0.500
Cl: 0.097 0.202 0.194
Cl: 0.903 0.798 0.806
Cl: 0.403 0.298 0.806
Cl: 0.597 0.702 0.194

Computed properties:
The calculation puts the uncorrected formation energy at -1.430 eV/atom. The value obtained for the total magnetization is 0.00 μB per formula unit. For the total energy, the calculation gives -5.901 eV per atom.

---

The following is a PBE-GGA calculation of a geometry-optimized Sm3C2Cl structure, from the Alexandria database.

Lattice parameters (Å, degrees): 3.880 7.134 10.573 90.00 90.00 105.78
Fractional positions:
Sm: 0.607 0.214 0.070
Sm: 0.067 0.134 0.750
Sm: 0.607 0.214 0.430
Sm: 0.933 0.866 0.250
Sm: 0.393 0.786 0.930
Sm: 0.393 0.786 0.570
C: 0.000 0.000 0.000
C: 0.000 0.000 0.500
C: 0.526 0.051 0.250
C: 0.474 0.949 0.750
Cl: 0.258 0.515 0.250
Cl: 0.742 0.485 0.750

Computed properties:
The calculation puts the uncorrected formation energy at -0.466 eV/atom. The calculation puts the density of states at the Fermi level at 0.1550 states/eV/atom. The value obtained for the total magnetization is 0.00 μB per formula unit. For the total energy, the calculation gives -6.208 eV per atom.

---

The following is a PBE-GGA calculation of a geometry-optimized Sm3CCl structure, from the Alexandria database.

Lattice parameters (Å, degrees): 3.643 9.243 7.291 90.00 90.00 90.00
Fractional positions:
Sm: 0.250 0.426 0.168
Sm: 0.750 0.574 0.832
Sm: 0.250 0.074 0.168
Sm: 0.750 0.926 0.832
Sm: 0.250 0.250 0.762
Sm: 0.750 0.750 0.238
C: 0.750 0.250 0.987
C: 0.250 0.750 0.013
Cl: 0.750 0.250 0.437
Cl: 0.250 0.750 0.563

Computed properties:
The calculation puts the uncorrected formation energy at -0.385 eV/atom. The calculation puts the density of states at the Fermi level at 0.4651 states/eV/atom. The value obtained for the total magnetization is 0.00 μB per formula unit. For the total energy, the calculation gives -5.430 eV per atom.

---

The following is a PBE-GGA calculation of a geometry-optimized Sm2CCl3 structure, from the Alexandria database.

Lattice parameters (Å, degrees): 4.056 8.913 9.047 72.45 77.05 76.85
Fractional positions:
Sm: 0.877 0.490 0.756
Sm: 0.123 0.510 0.244
Sm: 0.601 0.218 0.580
Sm: 0.399 0.782 0.420
C: 0.465 0.484 0.586
C: 0.535 0.516 0.414
Cl: 0.035 0.135 0.795
Cl: 0.965 0.865 0.205
Cl: 0.668 0.652 0.013
Cl: 0.332 0.348 0.987
Cl: 0.771 0.833 0.624
Cl: 0.229 0.167 0.376

Computed properties:
The calculation puts the uncorrected formation energy at -1.574 eV/atom. The calculation puts the density of states at the Fermi level at 0.1743 states/eV/atom. The value obtained for the total magnetization is 0.00 μB per formula unit. For the total energy, the calculation gives -5.607 eV per atom.

---

The following is a PBE-GGA calculation of a geometry-optimized Sm6C3Cl2 structure, from the Alexandria database.

Lattice parameters (Å, degrees): 6.514 6.508 7.040 81.09 71.98 59.97
Fractional positions:
Sm: 0.400 0.670 0.798
Sm: 0.731 0.000 0.797
Sm: 0.070 0.330 0.798
Sm: 0.269 0.000 0.203
Sm: 0.600 0.330 0.202
Sm: 0.930 0.670 0.202
C: 0.000 0.000 0.000
C: 0.332 0.336 0.000
C: 0.668 0.664 0.000
Cl: 0.167 0.666 0.500
Cl: 0.833 0.334 0.500

Computed properties:
The calculation puts the uncorrected formation energy at -0.799 eV/atom. The calculation puts the density of states at the Fermi level at 0.5638 states/eV/atom. The value obtained for the total magnetization is 0.00 μB per formula unit. For the total energy, the calculation gives -6.225 eV per atom.

---

The following is a PBE-GGA calculation of a geometry-optimized Sm3TeCCl structure, from the Alexandria database.

Lattice parameters (Å, degrees): 3.974 8.366 10.082 95.92 90.00 90.00
Each line ends with the local moment (μB).
Fractional positions:
Sm: 0.750 0.842 0.134  0.01
Sm: 0.250 0.158 0.866  0.01
Sm: 0.250 0.633 0.375  0.23
Sm: 0.750 0.367 0.625  0.23
Sm: 0.750 0.417 0.119  0.07
Sm: 0.250 0.583 0.881  0.07
Te: 0.250 0.144 0.183  0.00
Te: 0.750 0.856 0.817  0.00
C: 0.250 0.636 0.137  0.00
C: 0.750 0.364 0.863  0.00
Cl: 0.250 0.137 0.584  0.01
Cl: 0.750 0.863 0.416  0.01

Computed properties:
The calculation puts the uncorrected formation energy at -0.985 eV/atom. The calculation puts the density of states at the Fermi level at 0.4534 states/eV/atom. The value obtained for the total magnetization is 0.87 μB per formula unit. For the total energy, the calculation gives -5.713 eV per atom.

---

The following is a PBE-GGA calculation of a geometry-optimized Sm4Te2CCl structure, from the Alexandria database.

Lattice parameters (Å, degrees): 4.041 7.429 7.212 72.12 90.00 90.00
Fractional positions:
Sm: 0.000 0.705 0.727
Sm: 0.000 0.295 0.273
Sm: 0.500 0.695 0.297
Sm: 0.500 0.305 0.703
Te: 0.000 0.000 0.000
Te: 0.500 0.000 0.500
C: 0.000 0.500 0.500
Cl: 0.500 0.500 0.000

Computed properties:
The calculation puts the uncorrected formation energy at -1.136 eV/atom. The calculation puts the density of states at the Fermi level at 0.3566 states/eV/atom. The value obtained for the total magnetization is 0.00 μB per formula unit. For the total energy, the calculation gives -5.664 eV per atom.

---

The following is a PBE-GGA calculation of a geometry-optimized SmYCCl structure, from the Alexandria database.

Lattice parameters (Å, degrees): 3.677 3.677 7.318 90.00 104.55 120.00
Fractional positions:
Sm: 0.511 0.153 0.679
Y: 0.095 0.946 0.056
C: 0.311 0.553 0.879
Cl: 0.961 0.379 0.355

Computed properties:
The calculation puts the uncorrected formation energy at -1.066 eV/atom. The calculation puts the density of states at the Fermi level at 0.5014 states/eV/atom. The value obtained for the total magnetization is 0.00 μB per formula unit. For the total energy, the calculation gives -6.629 eV per atom.